Record 1
# AcY5

A geometry-optimized AcY5 structure (GGA-PBE, the Alexandria database).

Cell: 3.892 5.896 9.477 Å, 108.12 90.00 90.00°
Positions (direct):
Y1 0.000 0.656 0.313
Y2 0.000 0.344 0.687
Y3 0.500 0.500 0.000
Y4 0.500 0.183 0.365
Y5 0.500 0.817 0.635
Ac1 0.000 0.000 0.000

Output
- offset from the most stable computed form (kJ/mol of atoms) = 7.0

Record 2
# AcY4

A geometry-optimized AcY4 structure (GGA-PBE, the Alexandria database).

Cell: 3.622 5.762 8.997 Å, 108.66 101.59 90.00°
Positions (direct):
Ac1 0.500 0.000 0.500
Y1 0.784 0.785 0.070
Y2 0.216 0.215 0.930
Y3 0.101 0.601 0.703
Y4 0.899 0.399 0.297

Output
- offset from the most stable computed form (kJ/mol of atoms) = 0.0

Record 3
# Ac5Y

A geometry-optimized Ac5Y structure (GGA-PBE, the Alexandria database).

Cell: 5.560 5.545 8.788 Å, 108.39 90.00 90.00°
Positions (direct):
Y1 0.000 0.000 0.000
Ac1 0.000 0.663 0.327
Ac2 0.000 0.337 0.673
Ac3 0.500 0.500 0.000
Ac4 0.500 0.165 0.329
Ac5 0.500 0.835 0.671

Output
- offset from the most stable computed form (kJ/mol of atoms) = 0.0

Record 4
# Ac2Y

A geometry-optimized Ac2Y structure (GGA-PBE, the Alexandria database).

Cell: 3.784 3.784 17.737 Å, 96.12 96.12 90.00°
Positions (direct):
Ac1 0.174 0.674 0.347
Ac2 0.576 0.576 0.153
Ac3 0.326 0.826 0.653
Ac4 0.424 0.424 0.847
Y1 0.750 0.250 0.500
Y2 0.000 0.000 0.000

Output
- offset from the most stable computed form (kJ/mol of atoms) = 3.9

Record 5
# Ac7Y3

A geometry-optimized Ac7Y3 structure (GGA-PBE, the Alexandria database).

Cell: 5.487 7.697 11.507 Å, 119.17 103.79 90.00°
Positions (direct):
Ac1 0.000 0.500 0.000
Ac2 0.201 0.297 0.401
Ac3 0.799 0.703 0.599
Ac4 0.397 0.098 0.794
Ac5 0.603 0.902 0.206
Ac6 0.401 0.603 0.802
Ac7 0.599 0.397 0.198
Y1 0.000 0.000 0.000
Y2 0.202 0.805 0.405
Y3 0.798 0.195 0.595

Output
- uncorrected energy (eV per atom) = -4.776

Record 6
# Ac4Y3

A geometry-optimized Ac4Y3 structure (GGA-PBE, the Alexandria database).

Cell: 3.897 13.469 13.469 Å, 120.00 90.00 90.00°
Positions (direct):
Ac1 0.750 0.333 0.667
Ac2 0.250 0.667 0.333
Ac3 0.750 0.769 0.676
Ac4 0.750 0.907 0.231
Ac5 0.750 0.324 0.093
Ac6 0.250 0.231 0.324
Ac7 0.250 0.093 0.769
Ac8 0.250 0.676 0.907
Y1 0.750 0.908 0.512
Y2 0.750 0.605 0.092
Y3 0.750 0.488 0.395
Y4 0.250 0.092 0.488
Y5 0.250 0.395 0.908
Y6 0.250 0.512 0.605

Output
- uncorrected energy (eV per atom) = -4.864

Record 7
# AcY

A geometry-optimized AcY structure (GGA-PBE, the Alexandria database).

Cell: 4.244 4.244 4.244 Å, 90.00 90.00 90.00°
Positions (direct):
Y1 0.500 0.500 0.500
Ac1 0.000 0.000 0.000

Output
- offset from the most stable computed form (kJ/mol of atoms) = 1.7

Record 8
# AcY5

A geometry-optimized AcY5 structure (GGA-PBE, the Alexandria database).

Cell: 3.653 3.653 15.386 Å, 90.00 90.00 90.00°
Positions (direct):
Ac1 0.500 0.500 0.500
Y1 0.000 0.000 0.678
Y2 0.500 0.500 0.839
Y3 0.000 0.000 0.000
Y4 0.500 0.500 0.161
Y5 0.000 0.000 0.322

Output
- offset from the most stable computed form (kJ/mol of atoms) = 1.7

Record 9
# AcY5

A geometry-optimized AcY5 structure (GGA-PBE, the Alexandria database).

Cell: 3.728 6.886 8.616 Å, 76.99 90.00 105.71°
Positions (direct):
Ac1 0.002 0.004 0.995
Y1 0.384 0.768 0.716
Y2 0.670 0.340 0.660
Y3 0.056 0.112 0.393
Y4 0.331 0.662 0.340
Y5 0.724 0.448 0.063

Output
- offset from the most stable computed form (kJ/mol of atoms) = 0.0

Record 10
# Ac2Y13

A geometry-optimized Ac2Y13 structure (GGA-PBE, the Alexandria database).

Cell: 9.369 9.369 9.435 Å, 60.23 60.23 60.00°
Positions (direct):
Ac1 0.236 0.236 0.293
Ac2 0.764 0.764 0.707
Y1 0.500 0.500 0.500
Y2 0.602 0.249 0.900
Y3 0.249 0.249 0.900
Y4 0.249 0.602 0.900
Y5 0.751 0.398 0.100
Y6 0.398 0.751 0.100
Y7 0.751 0.751 0.100
Y8 0.666 0.017 0.300
Y9 0.017 0.017 0.300
Y10 0.017 0.666 0.300
Y11 0.983 0.334 0.700
Y12 0.334 0.983 0.700
Y13 0.983 0.983 0.700

Output
- uncorrected energy (eV per atom) = -5.530

Record 11
# Ac2Y7

A geometry-optimized Ac2Y7 structure (GGA-PBE, the Alexandria database).

Cell: 6.376 6.376 8.902 Å, 90.00 90.00 120.00°
Positions (direct):
Ac1 0.333 0.667 0.000
Ac2 0.667 0.333 0.000
Y1 0.000 0.000 0.000
Y2 0.669 0.000 0.340
Y3 0.000 0.669 0.340
Y4 0.331 0.331 0.340
Y5 0.000 0.331 0.660
Y6 0.331 0.000 0.660
Y7 0.669 0.669 0.660

Output
- uncorrected energy (eV per atom) = -5.897

Record 12
# Ac13Y3

A geometry-optimized Ac13Y3 structure (GGA-PBE, the Alexandria database).

Cell: 7.794 7.794 11.185 Å, 90.00 90.00 90.38°
Positions (direct):
Ac1 0.998 0.497 0.754
Ac2 0.502 0.498 0.751
Ac3 0.503 0.002 0.754
Ac4 0.244 0.247 0.000
Ac5 0.753 0.756 0.000
Ac6 0.246 0.754 0.000
Ac7 0.998 0.497 0.246
Ac8 0.502 0.498 0.249
Ac9 0.503 0.002 0.246
Ac10 0.755 0.245 0.500
Ac11 0.245 0.244 0.500
Ac12 0.756 0.755 0.500
Ac13 0.247 0.753 0.500
Y1 0.997 0.003 0.755
Y2 0.755 0.245 0.000
Y3 0.997 0.003 0.245

Output
- uncorrected energy (eV per atom) = -4.518

Record 13
# AcY

A geometry-optimized AcY structure (GGA-PBE, the Alexandria database).

Cell: 3.803 7.465 5.379 Å, 90.00 90.00 89.99°
Positions (direct):
Y1 0.250 0.116 0.250
Y2 0.750 0.884 0.750
Ac1 0.250 0.633 0.250
Ac2 0.750 0.367 0.750

Output
- offset from the most stable computed form (kJ/mol of atoms) = 0.0

Record 14
# AcY2

A geometry-optimized AcY2 structure (GGA-PBE, the Alexandria database).

Cell: 6.916 6.916 6.916 Å, 60.00 60.00 60.00°
Positions (direct):
Y1 0.125 0.625 0.625
Y2 0.625 0.125 0.625
Y3 0.625 0.625 0.625
Y4 0.625 0.625 0.125
Ac1 0.000 0.000 0.000
Ac2 0.250 0.250 0.250

Output
- offset from the most stable computed form (kJ/mol of atoms) = 18.9

Record 15
# AcY7

A geometry-optimized AcY7 structure (GGA-PBE, the Alexandria database).

Cell: 7.228 7.228 7.228 Å, 60.00 60.00 60.00°
Positions (direct):
Ac1 0.000 0.000 0.000
Y1 0.500 0.500 0.000
Y2 0.500 0.000 0.500
Y3 0.000 0.500 0.500
Y4 0.500 0.000 0.000
Y5 0.000 0.500 0.000
Y6 0.000 0.000 0.500
Y7 0.500 0.500 0.500

Output
- uncorrected energy (eV per atom) = -6.138

Record 16
# Ac2Y

A geometry-optimized Ac2Y structure (GGA-PBE, the Alexandria database).

Cell: 4.425 4.425 7.002 Å, 108.51 108.51 89.91°
Positions (direct):
Y1 0.500 0.500 0.000
Ac1 0.156 0.156 0.311
Ac2 0.844 0.844 0.689

Output
- offset from the most stable computed form (kJ/mol of atoms) = 0.0

Record 17
# AcY4

A geometry-optimized AcY4 structure (GGA-PBE, the Alexandria database).

Cell: 5.886 5.886 5.886 Å, 90.00 90.00 90.00°
Positions (direct):
Y1 0.000 0.000 0.000
Y2 0.500 0.000 0.500
Y3 0.000 0.500 0.500
Y4 0.500 0.500 0.000
Ac1 0.500 0.500 0.500

Output
- offset from the most stable computed form (kJ/mol of atoms) = 90.1

Record 18
# Ac7Y2

A geometry-optimized Ac7Y2 structure (GGA-PBE, the Alexandria database).

Cell: 6.766 6.766 9.568 Å, 90.00 90.00 120.00°
Positions (direct):
Ac1 0.000 0.000 0.000
Ac2 0.664 0.000 0.327
Ac3 0.000 0.664 0.327
Ac4 0.336 0.336 0.327
Ac5 0.000 0.336 0.673
Ac6 0.336 0.000 0.673
Ac7 0.664 0.664 0.673
Y1 0.333 0.667 0.000
Y2 0.667 0.333 0.000

Output
- uncorrected energy (eV per atom) = -4.587

Record 19
# AcYZn

A geometry-optimized AcYZn structure (GGA-PBE, the Alexandria database).

Cell: 5.260 9.074 7.767 Å, 90.00 90.00 90.00°
Positions (direct):
Y1 0.000 0.916 0.250
Y2 0.500 0.084 0.750
Y3 0.500 0.415 0.250
Y4 0.000 0.585 0.750
Zn1 0.000 0.918 0.750
Zn2 0.500 0.082 0.250
Zn3 0.500 0.417 0.751
Zn4 0.000 0.583 0.251
Ac1 0.000 0.251 0.500
Ac2 0.500 0.749 0.499
Ac3 0.500 0.749 0.000
Ac4 0.000 0.251 0.999

Output
- offset from the most stable computed form (kJ/mol of atoms) = 11.8

Record 20
# Ac2YZn4

A geometry-optimized Ac2YZn4 structure (GGA-PBE, the Alexandria database).

Cell: 5.434 5.434 7.670 Å, 110.75 110.75 90.00°
Positions (direct):
Ac1 0.716 0.716 0.433
Ac2 0.284 0.284 0.567
Y1 0.000 0.000 0.000
Zn1 0.402 0.902 0.804
Zn2 0.902 0.402 0.804
Zn3 0.598 0.098 0.196
Zn4 0.098 0.598 0.196

Output
- uncorrected energy (eV per atom) = -2.953